First-principles (PBE) data for TaCdCl after structural relaxation, as listed in Alexandria via LeMat-Bulk.

The structure in CIF format:
```
data_TaCdCl
_cell_length_a 3.047
_cell_length_b 5.964
_cell_length_c 8.693
_cell_angle_alpha 72.03
_cell_angle_beta 80.38
_cell_angle_gamma 75.39
_symmetry_space_group_name_H-M 'P 1'
_symmetry_Int_Tables_number 1
_symmetry_space_group_name_Hall 'P 1'
loop_
_atom_site_label
_atom_site_type_symbol
_atom_site_fract_x
_atom_site_fract_y
_atom_site_fract_z
Ta1 Ta 0.000 0.000 0.000
Ta2 Ta 0.474 0.300 0.744
Cd1 Cd 0.250 0.446 0.060
Cd2 Cd 0.732 0.749 0.780
Cl1 Cl 0.079 0.313 0.512
Cl2 Cl 0.429 0.908 0.244
```

Values from the calculation:
final energy: -5.072 eV per atom
E above lowest polymorph: 0.055 eV/atom
total magnetic moment: 0.00 μB/f.u.
formation energy (no corrections): -201 meV/atom

***

First-principles (PBE) data for TaCdCl after structural relaxation, as listed in Alexandria via LeMat-Bulk.

The structure in CIF format:
```
data_TaCdCl
_cell_length_a 6.492
_cell_length_b 6.492
_cell_length_c 6.492
_cell_angle_alpha 90.00
_cell_angle_beta 90.00
_cell_angle_gamma 90.00
_symmetry_space_group_name_H-M 'F -4 3 m'
_symmetry_Int_Tables_number 216
_symmetry_space_group_name_Hall 'F -4 2 3'
loop_
_atom_site_label
_atom_site_type_symbol
_atom_site_fract_x
_atom_site_fract_y
_atom_site_fract_z
Ta1 Ta 0.000 0.000 0.000
Cd1 Cd 0.250 0.250 0.750
Cl1 Cl 0.250 0.250 0.250
```

Values from the calculation:
final energy: -3.816 eV per atom
E above lowest polymorph: 1.311 eV/atom
total magnetic moment: 0.98 μB/f.u.
formation energy (no corrections): 1055 meV/atom

***

First-principles (PBE) data for TaCdCl2 after structural relaxation, as listed in Alexandria via LeMat-Bulk.

The structure in CIF format:
```
data_TaCdCl2
_cell_length_a 3.921
_cell_length_b 3.921
_cell_length_c 10.948
_cell_angle_alpha 90.00
_cell_angle_beta 90.00
_cell_angle_gamma 90.00
_symmetry_space_group_name_H-M 'I -4 m 2'
_symmetry_Int_Tables_number 119
_symmetry_space_group_name_Hall 'I -4 -2'
loop_
_atom_site_label
_atom_site_type_symbol
_atom_site_fract_x
_atom_site_fract_y
_atom_site_fract_z
Ta1 Ta 0.000 0.000 0.000
Cd1 Cd 0.000 0.500 0.750
Cl1 Cl 0.000 0.000 0.500
Cl2 Cl 0.000 0.500 0.250
```

Values from the calculation:
final energy: -3.583 eV per atom
E above lowest polymorph: 1.072 eV/atom
total magnetic moment: 2.46 μB/f.u.
formation energy (no corrections): 532 meV/atom

***

First-principles (PBE) data for Ta3CdCl after structural relaxation, as listed in Alexandria via LeMat-Bulk.

The structure in CIF format:
```
data_Ta3CdCl
_cell_length_a 5.059
_cell_length_b 5.059
_cell_length_c 5.059
_cell_angle_alpha 90.00
_cell_angle_beta 90.00
_cell_angle_gamma 90.00
_symmetry_space_group_name_H-M 'P m -3 m'
_symmetry_Int_Tables_number 221
_symmetry_space_group_name_Hall '-P 4 2 3'
loop_
_atom_site_label
_atom_site_type_symbol
_atom_site_fract_x
_atom_site_fract_y
_atom_site_fract_z
Ta1 Ta 0.000 0.000 0.500
Cd1 Cd 0.000 0.000 0.000
Cl1 Cl 0.500 0.500 0.500
```

Values from the calculation:
final energy: -5.237 eV per atom
E above lowest polymorph: 1.520 eV/atom
total magnetic moment: 0.00 μB/f.u.
formation energy (no corrections): 2427 meV/atom